1.
First-principles (PBE) data for an optimized crystal structure of Li2ZnIn6, as listed in Alexandria.

Unit cell a=14.747 b=6.711 c=4.538 alpha=90.00 beta=107.51 gamma=90.00
Space group C2/m (No. 12)
One atom of each set of equivalent atoms:
1 Li 0.166 0.000 0.166 [4 per cell]
2 Zn 0.000 0.500 0.500 [2 per cell]
3 In 0.000 0.243 0.000 [4 per cell]
4 In 0.168 0.255 0.668 [8 per cell]

Calculated values
As for the magnetic moment: 0.00 μB per formula unit. The total energy is -2.432 eV per atom.

***

2.
First-principles (PBE) data for an optimized crystal structure of Tb3Ni2Ge3, as listed in Alexandria.

Unit cell a=4.219 b=10.366 c=14.183 alpha=90.00 beta=90.00 gamma=90.00
Space group Cmcm (No. 63)
One atom of each set of equivalent atoms:
1 Tb 0.000 0.088 0.109 [8 per cell]
2 Tb 0.000 0.367 0.250 [4 per cell]
3 Ni 0.000 0.202 0.600 [8 per cell]
4 Ge 0.000 0.334 0.750 [4 per cell]
5 Ge 0.000 0.376 0.038 [8 per cell]

Calculated values
As for the magnetic moment: 0.00 μB per formula unit. The total energy is -5.729 eV per atom.

***

> What is the magnetic moment in the first record?

0.00 μB per formula unit

***

> What is the magnetic moment in the first record?

0.00 μB per formula unit

***

> Which value of magnetic moment does entry 1 give?

0.00 μB per formula unit